[1]
First-principles (PBE) data for a relaxed structure of SrAc2Sn, as listed in Alexandria via LeMat-Bulk.

Computed properties:
The density comes out at 6946 kg/m³. For the formation energy, the calculation gives -0.27 eV per atom.

Cell lengths 4.4905, 4.4905, 7.8290 Å; angles 90.00, 90.00, 90.00 degrees
With the nearest neighbours (Å) after each atom.
Space group P4/mmm (No. 123)
Inequivalent atoms, fractional coordinates:
Sr1 0.0000 0.0000 0.0000 x1  8 Ac 3.88, 2 Sn 3.91
Ac1 0.5000 0.5000 0.2846 x2  1 Ac 3.37, 4 Sn 3.60
Sn1 0.0000 0.0000 0.5000 x1  8 Ac 3.60, 2 Sr 3.91

=====

[2]
First-principles (PBE) data for a relaxed structure of Sr2AcSn, as listed in Alexandria via LeMat-Bulk.

Computed properties:
The density comes out at 5004 kg/m³. For the formation energy, the calculation gives -0.06 eV per atom.

Cell lengths 3.9369, 3.9369, 38.6375 Å; angles 90.00, 90.00, 120.00 degrees
With the nearest neighbours (Å) after each atom.
Space group R-3m (No. 166, hexagonal axes)
Inequivalent atoms, fractional coordinates:
Sr1 0.0000 0.0000 0.1009 x6  3 Sn 3.41
Ac1 0.0000 0.0000 0.0000 x3  2 Sr 3.90, 6 Ac 3.94
Sn1 0.0000 0.0000 0.5000 x3  6 Sr 3.41

=====

[3]
First-principles (PBE) data for a relaxed structure of Sr3Ac4Sn4, as listed in Alexandria via LeMat-Bulk.

Computed properties:
The density comes out at 6576 kg/m³. For the formation energy, the calculation gives -0.48 eV per atom.

Cell lengths 3.9420, 10.4051, 20.2642 Å; angles 90.00, 90.00, 90.00 degrees
With the nearest neighbours (Å) after each atom.
Space group Immm (No. 71)
Inequivalent atoms, fractional coordinates:
Sr1 0.0000 0.0000 0.0000 x2  4 Sn 3.45
Sr2 0.0000 0.5000 0.0891 x4  6 Sn 3.39-3.57, 1 Sr 3.61
Ac1 0.0000 0.3186 0.3330 x8  4 Sn 3.50-3.52, 1 Ac 3.78
Sn1 0.0000 0.0000 0.2750 x4  2 Sr 3.39, 6 Ac 3.50-3.52
Sn2 0.0000 0.2280 0.5000 x4  6 Sr 3.45-3.57, 2 Ac 3.51